Density functional theory data (GGA+U) for a relaxed structure of MnOF.

Cell lengths 5.6874, 6.9631, 6.9877 Å; angles 95.61, 91.49, 91.38 degrees
Element x y z (fractional)
Mn  0.0000  0.0000  0.0000
Mn  0.0020  0.5066  0.5087
Mn  0.2916  0.7535  0.2511
Mn  0.3449  0.2674  0.7536
Mn  0.5553  0.7662  0.7469
Mn  0.5653  0.2594  0.2393
Mn  0.8206  0.5164  0.0056
Mn  0.8696  0.0129  0.4966
O  0.0463  0.7379  0.0503
O  0.0592  0.2473  0.5671
O  0.0625  0.7710  0.4448
O  0.5761  0.3118  0.9750
O  0.7755  0.5639  0.7366
O  0.7957  0.4604  0.2757
O  0.8035  0.0676  0.2330
O  0.8053  0.9577  0.7636
F  0.0663  0.2726  0.9585
F  0.2971  0.5618  0.7075
F  0.3037  0.0568  0.1951
F  0.3118  0.4571  0.2983
F  0.3143  0.9703  0.7943
F  0.5319  0.7263  0.0501
F  0.5512  0.8129  0.4492
F  0.5615  0.2144  0.5212

## Properties
Uncorrected energy ... -6.72 eV per atom
SG ... P1